[1]
In3SeBr: optimized geometry, PBE.

The structure in POSCAR format:
```
In3SeBr
1.0
-4.808 3.254 -1.378
-3.520 -4.615 1.384
-0.312 1.928 5.638
Se Br In
1 1 3
direct
0.000 0.000 0.000
0.500 0.500 0.500
0.000 0.500 0.000
0.000 0.000 0.500
0.500 0.000 0.000
```

## Properties
Total magnetization ... 0.00 μB/f.u.
Raw formation energy ... -0.032 eV/atom
Crystal system ... cubic
E_tot ... -2.706 eV per atom

=====

[2]
TmNiAs2: optimized geometry, PBE.

The structure in POSCAR format:
```
TmNiAs2
1.0
-2.170 -1.487 -2.617
-1.466 -3.371 0.501
-7.388 1.560 2.609
Ni As Tm
1 2 1
direct
0.500 0.500 0.500
0.122 0.122 0.633
0.878 0.878 0.367
0.000 0.000 0.000
```

## Properties
Total magnetization ... 0.00 μB/f.u.
Crystal system ... trigonal
E_tot ... -5.002 eV per atom
Calculated formation energy ... -0.114 eV/atom

=====

[3]
Sc6ZnFe2: optimized geometry, PBE.

The structure in POSCAR format:
```
Sc6ZnFe2
1.0
7.235 -0.022 -2.682
-3.820 6.352 -2.145
-0.120 0.022 7.715
Sc Zn Fe
12 2 4
direct
0.539 0.722 0.817
0.461 0.278 0.183
0.096 0.278 0.817
0.904 0.722 0.183
0.801 0.756 0.557
0.199 0.244 0.443
0.199 0.756 0.956
0.801 0.244 0.044
0.688 0.360 0.672
0.312 0.640 0.328
0.312 0.984 0.672
0.688 0.016 0.328
0.000 0.500 0.500
0.000 0.000 0.000
0.500 0.384 0.884
0.500 0.616 0.116
0.672 0.000 0.672
0.328 0.000 0.328
```

## Properties
Total magnetization ... 0.45 μB/f.u.
Crystal system ... orthorhombic
E_tot ... -6.402 eV per atom
Calculated formation energy ... -0.158 eV/atom